DFT (PBE-GGA) results for an optimized crystal structure of LiTe2PbI.

## Properties
Distance to the lowest polymorph of the same formula in meV per atom: 145
Density of states at the Fermi level in states/eV per cell: 7.13
ΔE_f (raw) in eV/atom: 0.025

extended XYZ file:
```
5
Lattice="5.907 0.000 0.000 0.000 5.907 0.000 0.000 0.000 6.377" Properties=species:S:1:pos:R:3 pbc="T T T"
Li 0.000 0.000 0.000
Te 0.000 2.954 3.189
Te 2.954 0.000 3.189
Pb 2.954 2.954 3.189
I 2.954 2.954 0.000
```

=====

DFT (PBE-GGA) results for an optimized crystal structure of SmTh3H.

## Properties
E in eV per formula unit: -30.6
Density of states at the Fermi level in states/eV per cell: 7.78

extended XYZ file:
```
5
Lattice="5.102 0.000 0.000 0.000 5.102 0.000 0.000 0.000 5.102" Properties=species:S:1:pos:R:3 pbc="T T T"
Sm 0.000 0.000 0.000
Th 0.000 2.551 2.551
Th 2.551 0.000 2.551
Th 2.551 2.551 0.000
H 2.551 2.551 2.551
```

=====

DFT (PBE-GGA) results for an optimized crystal structure of KMgAu4.

## Properties
Density of states at the Fermi level in states/eV per cell: 2.63
Formation energy in eV per atom: -0.242

extended XYZ file:
```
6
Lattice="0.000 4.013 4.013 4.013 0.000 4.013 4.013 4.013 0.000" Properties=species:S:1:pos:R:3 pbc="T T T"
K 0.000 0.000 0.000
Mg 6.019 6.019 6.019
Au 3.013 3.013 3.013
Au 5.013 5.013 3.013
Au 5.013 3.013 5.013
Au 3.013 5.013 5.013
```